Record 1
An optimized crystal structure of KTlCoBr4, computed with PBE.

V (Å³ per atom): 34.81
Total energy (eV/atom): -3.35

CIF file:
```
data_KTlCoBr4
_symmetry_space_group_name_H-M 'P 1'
_symmetry_Int_Tables_number 1
_cell_length_a 7.439
_cell_length_b 7.499
_cell_length_c 9.197
_cell_angle_alpha 90.00
_cell_angle_beta 108.23
_cell_angle_gamma 90.00
loop_
_symmetry_equiv_pos_as_xyz
'x,y,z'
loop_
_atom_site_label
_atom_site_type_symbol
_atom_site_fract_x
_atom_site_fract_y
_atom_site_fract_z
_atom_site_occupancy
K1 K 0.223 0.250 0.051 1
K2 K 0.777 0.750 0.949 1
Tl1 Tl 0.269 0.250 0.570 1
Tl2 Tl 0.731 0.750 0.430 1
Co1 Co 0.219 0.750 0.797 1
Co2 Co 0.781 0.250 0.203 1
Br1 Br 0.005 0.501 0.737 1
Br2 Br 0.005 0.999 0.737 1
Br3 Br 0.390 0.750 0.065 1
Br4 Br 0.414 0.750 0.634 1
Br5 Br 0.586 0.250 0.366 1
Br6 Br 0.610 0.250 0.935 1
Br7 Br 0.995 0.001 0.263 1
Br8 Br 0.995 0.499 0.263 1
```

---

Record 2
An optimized crystal structure of Sr3SiIr2, computed with PBE.

V (Å³ per atom): 28.76
Total energy (eV/atom): -5.11

CIF file:
```
data_Sr3SiIr2
_symmetry_space_group_name_H-M 'P 1'
_symmetry_Int_Tables_number 1
_cell_length_a 6.267
_cell_length_b 11.543
_cell_length_c 10.047
_cell_angle_alpha 90.00
_cell_angle_beta 108.25
_cell_angle_gamma 90.00
loop_
_symmetry_equiv_pos_as_xyz
'x,y,z'
loop_
_atom_site_label
_atom_site_type_symbol
_atom_site_fract_x
_atom_site_fract_y
_atom_site_fract_z
_atom_site_occupancy
Sr1 Sr 0.173 0.225 0.339 1
Sr2 Sr 0.173 0.275 0.839 1
Sr3 Sr 0.221 0.594 0.969 1
Sr4 Sr 0.221 0.906 0.469 1
Sr5 Sr 0.289 0.544 0.591 1
Sr6 Sr 0.289 0.956 0.091 1
Sr7 Sr 0.711 0.044 0.909 1
Sr8 Sr 0.711 0.456 0.409 1
Sr9 Sr 0.779 0.094 0.531 1
Sr10 Sr 0.779 0.406 0.031 1
Sr11 Sr 0.827 0.725 0.161 1
Sr12 Sr 0.827 0.775 0.661 1
Si1 Si 0.403 0.698 0.322 1
Si2 Si 0.403 0.802 0.822 1
Si3 Si 0.597 0.198 0.178 1
Si4 Si 0.597 0.302 0.678 1
Ir1 Ir 0.221 0.525 0.265 1
Ir2 Ir 0.221 0.975 0.765 1
Ir3 Ir 0.368 0.144 0.652 1
Ir4 Ir 0.368 0.356 0.152 1
Ir5 Ir 0.632 0.644 0.848 1
Ir6 Ir 0.632 0.856 0.348 1
Ir7 Ir 0.779 0.025 0.235 1
Ir8 Ir 0.779 0.475 0.735 1
```

---

Q: What is the formula in the first record?
A: KTlCoBr4